1.
## Ho2NiF8 (PBE+U)

Data for an optimized crystal structure of Ho2NiF8.

Geometry as POSCAR:
```
Ho2NiF8
1.0
4.466 0.021 1.155
1.130 5.576 1.555
0.033 0.115 5.897
F Ho Ni
8 2 1
Direct
0.204 0.579 0.579
0.731 0.954 0.339
0.269 0.046 0.661
0.796 0.421 0.421
0.763 0.864 0.864
0.731 0.339 0.954
0.269 0.661 0.046
0.237 0.136 0.136
0.615 0.676 0.676
0.385 0.324 0.324
0.000 0.000 0.000
```

Computed properties:
calculated density = 6155 kg/m³
final energy = -6.016 eV/atom

***

2.
## RbHoNiF6 (PBE+U)

Data for an optimized crystal structure of RbHoNiF6.

Geometry as POSCAR:
```
RbHoNiF6
1.0
8.069 0.000 0.000
0.000 7.622 0.000
-4.035 -3.811 5.429
F Ni Rb Ho
12 2 2 2
Direct
0.547 0.297 0.094
0.547 0.903 0.736
0.190 0.903 0.736
0.453 0.667 0.264
0.547 0.333 0.736
0.810 0.667 0.264
0.831 0.081 0.663
0.190 0.333 0.736
0.169 0.919 0.337
0.453 0.097 0.264
0.453 0.703 0.906
0.810 0.097 0.264
0.500 0.000 0.000
0.500 0.500 0.000
0.196 0.446 0.392
0.804 0.554 0.608
0.000 0.000 0.500
0.500 0.000 0.500
```

Computed properties:
calculated density = 4208 kg/m³
final energy = -5.325 eV/atom

***

3.
## Rb2HoNi3F12 (PBE+U)

Data for an optimized crystal structure of Rb2HoNi3F12.

Geometry as POSCAR:
```
Rb2HoNi3F12
1.0
-0.818 -7.244 -1.789
2.234 -5.455 4.647
-4.949 -4.376 3.563
F Ho Ni Rb
12 1 3 2
Direct
0.084 0.693 0.693
0.911 0.911 0.355
0.307 0.307 0.916
0.693 0.084 0.693
0.645 0.089 0.089
0.089 0.645 0.089
0.307 0.916 0.307
0.089 0.089 0.645
0.911 0.355 0.911
0.916 0.307 0.307
0.693 0.693 0.084
0.355 0.911 0.911
0.000 0.000 0.000
0.500 0.000 0.000
0.000 0.000 0.500
0.000 0.500 0.000
0.614 0.614 0.614
0.386 0.386 0.386
```

Computed properties:
calculated density = 4247 kg/m³
final energy = -4.705 eV/atom

***

Which of these has the highest final energy? Rb2HoNi3F12